VASP calculation (PBE) on ZnRhW2 after structural relaxation.

SG = P4/mmm, No. 123
energy relative to the elements = 50.4 kJ/mol of formula units

Cell: 3.770 3.770 4.240 Å, 90.00 90.00 90.00°
Sites, in units of the cell vectors:
Zn 0.000 0.000 0.000
Rh 0.500 0.500 0.000
W 0.000 0.500 0.500
W 0.500 0.000 0.500